# 1
Compound: GaGeI
Source: Alexandria via LeMat-Bulk
Functional: GGA-PBE
Structure: optimized geometry

* relative energy among the computed polymorphs: 0.207 eV/atom
* total magnetization: 0.00 μB/atom
* uncorrected formation energy: -0.039 eV per atom

Cell: 5.1076 4.1162 8.7478 Å, 90.00 105.73 90.00°
Last column: nearest neighbours and their distance in Å.
Fractional positions:
Ga: 0.1162 0.0000 0.4738  3 Ge 2.58-2.65
Ge: 0.4421 0.5000 0.4707  3 Ga 2.59-2.65, 2 Ge 2.68
Ga: 0.4555 0.5000 0.1769  1 Ge 2.59, 3 I 2.73-2.89
I: 0.2057 0.5000 0.8590  1 Ga 2.73
Ge: 0.7400 0.0000 0.6205  1 Ga 2.58, 2 Ge 2.68
I: 0.8314 0.0000 0.1390  3 Ga 2.89-2.90

=====

# 2
Compound: Zr2CrBiH
Source: Alexandria via LeMat-Bulk
Functional: GGA-PBE
Structure: optimized geometry

* final energy: -6.88 eV per atom
* total magnetization: 0.63 μB/atom

Cell: 4.4165 4.4165 4.4069 Å, 90.00 90.00 90.00°
Last column: nearest neighbours and their distance in Å.
Fractional positions:
Bi: 0.5000 0.5000 0.5000  8 Zr 3.12, 4 Cr 3.12
Zr: 0.0000 0.5000 0.0000  2 H 2.21
Cr: 0.0000 0.0000 0.5000  2 H 2.20
H: 0.0000 0.0000 0.0000  2 Cr 2.20, 4 Zr 2.21
Zr: 0.5000 0.0000 0.0000  2 H 2.21

=====

# 3
Compound: Y2Er2Al
Source: Alexandria via LeMat-Bulk
Functional: GGA-PBE
Structure: optimized geometry

* formation energy from the elements: 0.48 eV/atom
* total magnetization: 0.00 μB/atom

Cell: 4.9298 4.9298 9.0121 Å, 74.13 74.13 60.00°
Last column: nearest neighbours and their distance in Å.
Fractional positions:
Al: 0.0000 0.0000 0.0000  6 Er 2.96
Y: 0.4332 0.4332 0.7004  4 Er 3.34-3.38, 1 Y 3.43
Er: 0.6986 0.6986 0.9041  3 Al 2.96, 3 Er 3.28
Er: 0.3014 0.3014 0.0959  3 Al 2.96, 3 Er 3.28
Y: 0.5668 0.5668 0.2996  4 Er 3.34-3.38, 1 Y 3.43

=====

# 4
Compound: Er5GaHg2
Source: Alexandria via LeMat-Bulk
Functional: GGA-PBE
Structure: optimized geometry

* formation energy from the elements: -0.36 eV/atom
* total magnetization: 0.00 μB/atom

Cell: 7.5944 7.5944 9.1232 Å, 114.60 114.60 90.00°
Last column: nearest neighbours and their distance in Å.
Fractional positions:
Er: 0.1803 0.0088 0.6891  3 Hg 3.15-3.23, 2 Ga 3.16, 2 Er 3.34-3.53
Hg: 0.8657 0.6343 0.0000  1 Hg 2.88, 4 Er 2.96-3.15
Ga: 0.2500 0.2500 0.5000  8 Er 3.16
Hg: 0.6343 0.1343 0.0000  1 Hg 2.88, 4 Er 2.96-3.15
Er: 0.8197 0.9912 0.3109  3 Hg 3.15-3.23, 2 Ga 3.16, 2 Er 3.34-3.53
Er: 0.5088 0.6803 0.6891  3 Hg 3.15-3.23, 2 Ga 3.16, 2 Er 3.34-3.53
Er: 0.9912 0.4912 0.3109  3 Hg 3.15-3.23, 2 Ga 3.16, 2 Er 3.34-3.53
Er: 0.0000 0.0000 0.0000  4 Hg 2.96
Er: 0.3197 0.8197 0.3109  3 Hg 3.15-3.23, 2 Ga 3.16, 2 Er 3.34-3.53
Er: 0.4912 0.3197 0.3109  3 Hg 3.15-3.23, 2 Ga 3.16, 2 Er 3.34-3.53
Hg: 0.3657 0.8657 0.0000  1 Hg 2.88, 4 Er 2.96-3.15
Er: 0.6803 0.1803 0.6891  3 Hg 3.15-3.23, 2 Ga 3.16, 2 Er 3.34-3.53
Er: 0.5000 0.5000 0.0000  4 Hg 2.96
Er: 0.0088 0.5088 0.6891  3 Hg 3.15-3.23, 2 Ga 3.16, 2 Er 3.34-3.53
Ga: 0.7500 0.7500 0.5000  8 Er 3.16
Hg: 0.1343 0.3657 0.0000  1 Hg 2.88, 4 Er 2.96-3.15

=====

# 5
Compound: Al3CdRh
Source: Alexandria via LeMat-Bulk
Functional: GGA-PBE
Structure: optimized geometry

* formation energy from the elements: -0.15 eV/atom
* relative energy among the computed polymorphs: 0.000 eV/atom
* total magnetization: 0.00 μB/atom

Cell: 4.7651 4.7651 4.7651 Å, 90.00 90.00 90.00°
Last column: nearest neighbours and their distance in Å.
Fractional positions:
Al: 0.0000 0.5000 0.0000  2 Rh 2.38
Rh: 0.0000 0.0000 0.0000  6 Al 2.38
Cd: 0.5000 0.5000 0.5000  12 Al 3.37
Al: 0.0000 0.0000 0.5000  2 Rh 2.38
Al: 0.5000 0.0000 0.0000  2 Rh 2.38

=====

# 6
Compound: Ce5P4O
Source: Alexandria via LeMat-Bulk
Functional: GGA-PBE
Structure: optimized geometry

* total magnetization: 0.30 μB/atom
* uncorrected formation energy: -1.702 eV per atom

Cell: 5.7214 6.9243 6.9243 Å, 80.17 65.60 65.60°
Last column: nearest neighbours and their distance in Å.
Fractional positions:
Ce: 0.9042 0.3834 0.8090  1 O 2.72, 5 P 2.84-2.89
P: 0.5942 0.6043 0.2064  6 Ce 2.82-2.89
P: 0.8006 0.7936 0.6043  6 Ce 2.82-2.89
O: 0.0500 0.0000 0.0000  1 Ce 2.35
Ce: 0.4606 0.0000 0.0000  1 O 2.35
Ce: 0.2875 0.8090 0.6166  1 O 2.72, 5 P 2.84-2.89
Ce: 0.7132 0.1910 0.3834  1 O 2.72, 5 P 2.84-2.89
P: 0.1985 0.2064 0.3957  6 Ce 2.82-2.89
Ce: 0.0965 0.6166 0.1910  1 O 2.72, 5 P 2.84-2.89
P: 0.4049 0.3957 0.7936  6 Ce 2.82-2.89

=====

# 7
Compound: Ca3IrW
Source: Alexandria via LeMat-Bulk
Functional: GGA-PBE
Structure: optimized geometry

* formation energy from the elements: 0.91 eV/atom
* relative energy among the computed polymorphs: 0.000 eV/atom
* total magnetization: 0.93 μB/atom

Cell: 5.4200 5.4200 5.4200 Å, 90.00 90.00 90.00°
Last column: nearest neighbours and their distance in Å.
Fractional positions:
Ca: 0.5000 0.0000 0.0000  2 Ir 2.71
W: 0.5000 0.5000 0.5000  12 Ca 3.83
Ir: 0.0000 0.0000 0.0000  6 Ca 2.71
Ca: 0.0000 0.0000 0.5000  2 Ir 2.71
Ca: 0.0000 0.5000 0.0000  2 Ir 2.71

=====

# 8
Compound: SmPu2Si
Source: Alexandria via LeMat-Bulk
Functional: GGA-PBE
Structure: optimized geometry

* relative energy among the computed polymorphs: 0.000 eV/atom
* total magnetization: 2.89 μB/atom
* uncorrected formation energy: -0.205 eV per atom

Cell: 4.8804 4.4049 4.4049 Å, 90.00 90.00 90.00°
Last column: nearest neighbours and their distance in Å.
Fractional positions:
Pu: 0.0000 0.5000 0.0000  4 Pu 3.11, 4 Sm 3.29, 4 Si 3.29
Sm: 0.5000 0.0000 0.0000  4 Si 3.11, 8 Pu 3.29
Si: 0.5000 0.5000 0.5000  4 Sm 3.11, 8 Pu 3.29
Pu: 0.0000 0.0000 0.5000  4 Pu 3.11, 4 Sm 3.29, 4 Si 3.29

=====

# 9
Compound: TiMnSi
Source: Alexandria via LeMat-Bulk
Functional: GGA-PBE
Structure: optimized geometry

* total magnetization: 0.27 μB/atom
* uncorrected formation energy: -0.479 eV per atom

Cell: 3.1144 5.1910 5.8823 Å, 116.18 105.35 90.00°
Last column: nearest neighbours and their distance in Å.
Fractional positions:
Ti: 0.6813 0.6813 0.3625  4 Si 2.54-2.67, 4 Mn 2.70
Mn: 0.0000 0.7382 0.0000  4 Si 2.39, 1 Mn 2.47
Ti: 0.3187 0.3187 0.6375  4 Si 2.54-2.67, 4 Mn 2.70
Si: 0.3807 0.8807 0.7615  4 Mn 2.39, 1 Si 2.41, 4 Ti 2.54-2.67
Si: 0.6193 0.1193 0.2385  4 Mn 2.39, 1 Si 2.41, 4 Ti 2.54-2.67
Mn: 0.0000 0.2618 0.0000  4 Si 2.39, 1 Mn 2.47

=====

# 10
Compound: AsRh2W
Source: Alexandria via LeMat-Bulk
Functional: GGA-PBE
Structure: optimized geometry

* formation energy from the elements: 0.12 eV/atom
* total magnetization: 0.06 μB/atom

Cell: 3.9737 3.8767 3.8767 Å, 90.00 90.00 90.00°
Last column: nearest neighbours and their distance in Å.
Fractional positions:
Rh: 0.0000 0.5000 0.5000  4 Rh 2.74, 4 As 2.78, 4 W 2.78
W: 0.5000 0.5000 0.0000  4 As 2.74, 8 Rh 2.78
As: 0.5000 0.0000 0.5000  4 W 2.74, 8 Rh 2.78
Rh: 0.0000 0.0000 0.0000  4 Rh 2.74, 4 As 2.78, 4 W 2.78

=====

# 11
Compound: La6Y8Mg
Source: Alexandria via LeMat-Bulk
Functional: GGA-PBE
Structure: optimized geometry

* formation energy from the elements: 0.12 eV/atom
* total magnetization: 0.00 μB/atom

Cell: 6.3753 9.6980 9.6980 Å, 120.00 90.00 90.00°
Last column: nearest neighbours and their distance in Å.
Fractional positions:
La: 0.6908 0.6363 0.0877  1 La 3.36, 6 Y 3.49-3.75
La: 0.6908 0.4514 0.3637  1 La 3.36, 6 Y 3.49-3.75
La: 0.3092 0.0877 0.4514  1 La 3.36, 6 Y 3.49-3.75
Y: 0.1926 0.9596 0.7388  1 Mg 3.07, 2 Y 3.41
Y: 0.1926 0.7792 0.0404  1 Mg 3.07, 2 Y 3.41
La: 0.3092 0.3637 0.9123  1 La 3.36, 6 Y 3.49-3.75
Y: 0.1757 0.6667 0.3333  3 Y 3.52, 6 La 3.75-3.82
Y: 0.8074 0.7388 0.7792  1 Mg 3.07, 2 Y 3.41
Mg: 0.5000 0.0000 0.0000  6 Y 3.07
Y: 0.8074 0.0404 0.2612  1 Mg 3.07, 2 Y 3.41
La: 0.6908 0.9123 0.5486  1 La 3.36, 6 Y 3.49-3.75
Y: 0.8074 0.2208 0.9596  1 Mg 3.07, 2 Y 3.41
Y: 0.1926 0.2612 0.2208  1 Mg 3.07, 2 Y 3.41
Y: 0.8243 0.3333 0.6667  3 Y 3.52, 6 La 3.75-3.82
La: 0.3092 0.5486 0.6363  1 La 3.36, 6 Y 3.49-3.75

=====

# 12
Compound: LiTc2
Source: Alexandria via LeMat-Bulk
Functional: GGA-PBE
Structure: optimized geometry

* formation energy from the elements: 0.18 eV/atom
* relative energy among the computed polymorphs: 0.084 eV/atom
* total magnetization: 0.00 μB/atom

Cell: 5.1230 5.1230 5.8501 Å, 75.47 75.47 33.60°
Last column: nearest neighbours and their distance in Å.
Fractional positions:
Tc: 0.5037 0.5037 0.7803  5 Tc 2.55-2.68, 4 Li 2.62-2.72
Tc: 0.8498 0.8498 0.5590  7 Tc 2.59-2.84, 3 Li 2.66-2.86
Li: 0.8083 0.8083 0.0933  2 Li 2.31
Tc: 0.1502 0.1502 0.4410  7 Tc 2.59-2.84, 3 Li 2.66-2.86
Li: 0.1917 0.1917 0.9067  2 Li 2.31
Tc: 0.4963 0.4963 0.2197  5 Tc 2.55-2.68, 4 Li 2.62-2.72